DFT (PBE-GGA) results for a relaxed Dy2PuNpO8 crystal.

## Properties
The value obtained for the total DFT energy (no corrections) is -114.834 eV for the cell shown. The calculated density is 10182 kg/m3. The uncorrected formation energy is -3224 meV per atom. As for the size of the total moment: 5.00 Bohr magnetons per cell.

```
Dy2PuNpO8
1.0
3.780 -0.051 -0.002
0.046 5.349 -0.006
0.004 0.008 7.533
O Dy Pu Np
8 2 1 1
Direct
0.998 0.238 0.241 O
0.498 0.234 0.000 O
0.002 0.762 0.759 O
0.502 0.766 0.000 O
0.502 0.758 0.500 O
0.498 0.242 0.500 O
0.002 0.762 0.241 O
0.998 0.238 0.759 O
0.500 0.500 0.750 Dy
0.500 0.500 0.250 Dy
0.000 0.000 0.500 Pu
0.000 0.000 0.000 Np
```